# Dy4Ga12Ir

A relaxed structure of Dy4Ga12Ir (GGA-PBE, the Open Quantum Materials Database).

Values from the calculation:
Total moment in μB/atom: 0.000
DFT total energy in eV per atom: -4.348

Cell: 8.6056 8.6056 8.6056 Å, 90.00 90.00 90.00°
Space group Im-3m (No. 229)
Unique sites:
Dy: 0.2500 0.2500 0.2500 (multiplicity 8)
Ga: 0.0000 0.0000 0.2931 (multiplicity 12)
Ga: 0.0000 0.2500 0.5000 (multiplicity 12)
Ir: 0.0000 0.0000 0.0000 (multiplicity 2)